#a
Compound: Sr3Tl5
Source: Alexandria via LeMat-Bulk
Functional: PBE-GGA
Structure: optimized geometry

Summary:
* magnetization: 0.0 μB per formula unit
* crystal system: triclinic

a = 6.9239 Å, b = 9.0668 Å, c = 9.4877 Å
α = 85.34°, β = 68.72°, γ = 77.42°
Fractional positions:
Sr: 0.1559 0.0002 0.1817
Sr: 0.2000 0.3179 0.5004
Sr: 0.2176 0.5013 0.0643
Sr: 0.7824 0.4987 0.9357
Sr: 0.8000 0.6821 0.4996
Sr: 0.8441 0.9998 0.8183
Tl: 0.2051 0.6331 0.6882
Tl: 0.2449 0.1788 0.8333
Tl: 0.2972 0.9391 0.4983
Tl: 0.3905 0.6332 0.3123
Tl: 0.4266 0.8225 0.8346
Tl: 0.5734 0.1775 0.1654
Tl: 0.6095 0.3668 0.6877
Tl: 0.7028 0.0609 0.5017
Tl: 0.7551 0.8212 0.1667
Tl: 0.7949 0.3669 0.3118


#b
Compound: Sr3Tl5
Source: Alexandria via LeMat-Bulk
Functional: PBE-GGA
Structure: optimized geometry

Summary:
* magnetization: 0.0 μB per formula unit
* crystal system: orthorhombic

a = 6.9365 Å, b = 6.9365 Å, c = 11.2638 Å
α = 90.00°, β = 90.00°, γ = 77.90°
Fractional positions:
Sr: 0.0991 0.9009 0.7500
Sr: 0.2899 0.2899 0.0000
Sr: 0.2899 0.2899 0.5000
Sr: 0.7101 0.7101 0.0000
Sr: 0.7101 0.7101 0.5000
Sr: 0.9009 0.0991 0.2500
Tl: 0.0237 0.5626 0.2500
Tl: 0.1980 0.8020 0.0406
Tl: 0.1980 0.8020 0.4594
Tl: 0.4374 0.9763 0.2500
Tl: 0.4897 0.5103 0.7500
Tl: 0.5103 0.4897 0.2500
Tl: 0.5626 0.0237 0.7500
Tl: 0.8020 0.1980 0.5406
Tl: 0.8020 0.1980 0.9594
Tl: 0.9763 0.4374 0.7500


#c
Compound: Sr3Tl5
Source: Alexandria via LeMat-Bulk
Functional: PBE-GGA
Structure: optimized geometry

Summary:
* magnetization: 0.0 μB per formula unit
* crystal system: hexagonal

a = 10.0333 Å, b = 10.0333 Å, c = 6.4215 Å
α = 90.00°, β = 90.00°, γ = 120.00°
Fractional positions:
Sr: 0.0000 0.3881 0.2500
Sr: 0.0000 0.6119 0.7500
Sr: 0.3881 0.0000 0.2500
Sr: 0.3881 0.3881 0.7500
Sr: 0.6119 0.0000 0.7500
Sr: 0.6119 0.6119 0.2500
Tl: 0.0000 0.2048 0.7500
Tl: 0.0000 0.7952 0.2500
Tl: 0.2048 0.0000 0.7500
Tl: 0.2048 0.2048 0.2500
Tl: 0.3333 0.6667 0.0000
Tl: 0.3333 0.6667 0.5000
Tl: 0.6667 0.3333 0.0000
Tl: 0.6667 0.3333 0.5000
Tl: 0.7952 0.0000 0.2500
Tl: 0.7952 0.7952 0.7500


#d
Compound: Sr3Tl5
Source: Alexandria via LeMat-Bulk
Functional: PBE-GGA
Structure: optimized geometry

Summary:
* magnetization: 0.0 μB per formula unit
* crystal system: orthorhombic

a = 7.0233 Å, b = 7.0233 Å, c = 5.5989 Å
α = 90.00°, β = 90.00°, γ = 105.98°
Fractional positions:
Sr: 0.0000 0.0000 0.0000
Sr: 0.2730 0.7270 0.5000
Sr: 0.7270 0.2730 0.5000
Tl: 0.0000 0.5000 0.0000
Tl: 0.2311 0.2311 0.5000
Tl: 0.5000 0.0000 0.0000
Tl: 0.5000 0.5000 0.0000
Tl: 0.7689 0.7689 0.5000


What should be chosen as the least stable of them? Choose #c.


#a
Compound: SrTm2Tl
Source: Alexandria via LeMat-Bulk
Functional: PBE-GGA
Structure: optimized geometry

Summary:
* magnetization: 0.0 μB per formula unit
* crystal system: trigonal

a = 12.0800 Å, b = 12.0800 Å, c = 12.0800 Å
α = 17.42°, β = 17.42°, γ = 17.42°
Fractional positions:
Sr: 0.0000 0.0000 0.0000
Tm: 0.0995 0.0995 0.0995
Tm: 0.9005 0.9005 0.9005
Tl: 0.5000 0.5000 0.5000


#b
Compound: SrTm2Tl
Source: Alexandria via LeMat-Bulk
Functional: PBE-GGA
Structure: optimized geometry

Summary:
* magnetization: 0.0 μB per formula unit
* crystal system: tetragonal

a = 4.9776 Å, b = 4.9776 Å, c = 4.9769 Å
α = 90.00°, β = 90.00°, γ = 90.00°
Fractional positions:
Sr: 0.0000 0.0000 0.0000
Tm: 0.0000 0.5000 0.5000
Tm: 0.5000 0.0000 0.5000
Tl: 0.5000 0.5000 0.0000


What should be chosen as the least stable of them? Choose #a.


#a
Compound: SrY2Tl
Source: Alexandria via LeMat-Bulk
Functional: PBE-GGA
Structure: optimized geometry

Summary:
* magnetization: 0.7 μB per formula unit
* crystal system: tetragonal

a = 6.1654 Å, b = 6.1654 Å, c = 6.1654 Å
α = 131.69°, β = 131.69°, γ = 70.72°
Fractional positions:
Sr: 0.0000 0.0000 0.0000
Y: 0.2500 0.7500 0.5000
Y: 0.7500 0.2500 0.5000
Tl: 0.5000 0.5000 0.0000


#b
Compound: SrY2Tl
Source: Alexandria via LeMat-Bulk
Functional: PBE-GGA
Structure: optimized geometry

Summary:
* magnetization: 0.8 μB per formula unit
* crystal system: tetragonal

a = 3.7753 Å, b = 3.7753 Å, c = 9.5653 Å
α = 90.00°, β = 90.00°, γ = 90.00°
Fractional positions:
Sr: 0.0000 0.0000 0.0000
Y: 0.0000 0.0000 0.4438
Y: 0.5000 0.5000 0.6846
Tl: 0.5000 0.5000 0.2422


#c
Compound: SrY2Tl
Source: Alexandria via LeMat-Bulk
Functional: PBE-GGA
Structure: optimized geometry

Summary:
* magnetization: 0.5 μB per formula unit
* crystal system: tetragonal

a = 5.0415 Å, b = 5.0415 Å, c = 5.0005 Å
α = 90.00°, β = 90.00°, γ = 90.00°
Fractional positions:
Sr: 0.0000 0.0000 0.0000
Y: 0.0000 0.5000 0.5000
Y: 0.5000 0.0000 0.5000
Tl: 0.5000 0.5000 0.0000


What should be chosen as the least stable of them? Choose #a.


#a
Compound: SrY2Tl
Source: Alexandria via LeMat-Bulk
Functional: PBE-GGA
Structure: optimized geometry

Summary:
* magnetization: 0.0 μB per formula unit
* crystal system: monoclinic

a = 6.9445 Å, b = 6.9445 Å, c = 3.5864 Å
α = 103.58°, β = 103.58°, γ = 119.76°
Fractional positions:
Sr: 0.0000 0.0000 0.0000
Y: 0.0000 0.5000 0.5000
Y: 0.5000 0.0000 0.5000
Tl: 0.5000 0.5000 0.0000


#b
Compound: SrY2Tl
Source: Alexandria via LeMat-Bulk
Functional: PBE-GGA
Structure: optimized geometry

Summary:
* magnetization: 0.0 μB per formula unit
* crystal system: orthorhombic

a = 6.8584 Å, b = 6.8584 Å, c = 6.8584 Å
α = 145.52°, β = 132.75°, γ = 59.79°
Fractional positions:
Sr: 0.0000 0.0000 0.0000
Y: 0.4361 0.4361 0.0000
Y: 0.7144 0.2144 0.5000
Tl: 0.2305 0.7305 0.5000


What should be chosen as the least stable of them? Choose #a.


#a
Compound: SrYTl
Source: Alexandria via LeMat-Bulk
Functional: PBE-GGA
Structure: optimized geometry

Summary:
* magnetization: 0.0 μB per formula unit
* crystal system: orthorhombic

a = 6.5213 Å, b = 6.5213 Å, c = 6.5213 Å
α = 118.26°, β = 114.52°, γ = 96.41°
Fractional positions:
Sr: 0.3874 0.1374 0.2500
Sr: 0.6126 0.8626 0.7500
Y: 0.0000 0.0000 0.5000
Y: 0.0000 0.5000 0.0000
Tl: 0.0000 0.5000 0.5000
Tl: 0.5000 0.5000 0.0000


#b
Compound: SrYTl
Source: Alexandria via LeMat-Bulk
Functional: PBE-GGA
Structure: optimized geometry

Summary:
* magnetization: 0.0 μB per formula unit
* crystal system: hexagonal

a = 5.5263 Å, b = 5.5263 Å, c = 7.3534 Å
α = 90.00°, β = 90.00°, γ = 120.00°
Fractional positions:
Sr: 0.0000 0.0000 0.0000
Sr: 0.0000 0.0000 0.5000
Y: 0.3333 0.6667 0.2500
Y: 0.6667 0.3333 0.7500
Tl: 0.3333 0.6667 0.7500
Tl: 0.6667 0.3333 0.2500


#c
Compound: SrYTl
Source: Alexandria via LeMat-Bulk
Functional: PBE-GGA
Structure: optimized geometry

Summary:
* magnetization: 0.0 μB per formula unit
* crystal system: monoclinic

a = 5.3471 Å, b = 5.3471 Å, c = 8.9695 Å
α = 107.35°, β = 107.35°, γ = 59.96°
Fractional positions:
Sr: 0.2108 0.2108 0.1326
Sr: 0.7892 0.7892 0.8674
Y: 0.3667 0.3667 0.5989
Y: 0.6333 0.6333 0.4011
Tl: 0.0629 0.0629 0.6872
Tl: 0.9371 0.9371 0.3128


What should be chosen as the least stable of them? Choose #c.


#a
Compound: SrYTl
Source: Alexandria via LeMat-Bulk
Functional: PBE-GGA
Structure: optimized geometry

Summary:
* magnetization: 0.0 μB per formula unit
* crystal system: monoclinic

a = 5.7928 Å, b = 3.8899 Å, c = 9.3834 Å
α = 90.00°, β = 107.92°, γ = 90.00°
Fractional positions:
Sr: 0.0000 0.0000 0.0000
Sr: 0.3647 0.0000 0.7284
Y: 0.2774 0.5000 0.3639
Y: 0.7668 0.0000 0.3651
Tl: 0.5357 0.5000 0.0822
Tl: 0.8186 0.5000 0.6473


#b
Compound: SrYTl
Source: Alexandria via LeMat-Bulk
Functional: PBE-GGA
Structure: optimized geometry

Summary:
* magnetization: 0.0 μB per formula unit
* crystal system: monoclinic

a = 9.9256 Å, b = 9.9256 Å, c = 5.2609 Å
α = 105.33°, β = 105.33°, γ = 24.89°
Fractional positions:
Sr: 0.0000 0.0000 0.0000
Sr: 0.6423 0.6423 0.6414
Y: 0.3110 0.3110 0.8097
Y: 0.8365 0.8365 0.3352
Tl: 0.2008 0.2008 0.1996
Tl: 0.4575 0.4575 0.4577


What should be chosen as the least stable of them? Choose #a.


#a
Compound: SrYTl4
Source: Alexandria via LeMat-Bulk
Functional: PBE-GGA
Structure: optimized geometry

Summary:
* magnetization: 0.0 μB per formula unit
* crystal system: triclinic

a = 5.0797 Å, b = 5.0933 Å, c = 8.2375 Å
α = 89.66°, β = 89.80°, γ = 60.46°
Fractional positions:
Sr: 0.0000 0.0000 0.0000
Y: 0.0000 0.0000 0.5000
Tl: 0.3325 0.3331 0.2155
Tl: 0.3334 0.3336 0.6583
Tl: 0.6666 0.6664 0.3417
Tl: 0.6675 0.6669 0.7845


#b
Compound: SrYTl4
Source: Alexandria via LeMat-Bulk
Functional: PBE-GGA
Structure: optimized geometry

Summary:
* magnetization: 0.0 μB per formula unit
* crystal system: cubic

a = 6.3687 Å, b = 6.3687 Å, c = 6.3687 Å
α = 60.00°, β = 60.00°, γ = 60.00°
Fractional positions:
Sr: 0.0000 0.0000 0.0000
Y: 0.2500 0.2500 0.2500
Tl: 0.1261 0.6246 0.6246
Tl: 0.6246 0.1261 0.6246
Tl: 0.6246 0.6246 0.1261
Tl: 0.6246 0.6246 0.6246


What should be chosen as the least stable of them? Choose #b.


#a
Compound: SrY2Tl2
Source: Alexandria via LeMat-Bulk
Functional: PBE-GGA
Structure: optimized geometry

Summary:
* magnetization: 0.0 μB per formula unit
* crystal system: tetragonal

a = 9.3001 Å, b = 9.3001 Å, c = 3.6667 Å
α = 90.00°, β = 90.00°, γ = 90.00°
Fractional positions:
Sr: 0.0000 0.0000 0.0000
Sr: 0.5000 0.5000 0.0000
Y: 0.1369 0.3631 0.5000
Y: 0.3631 0.8631 0.5000
Y: 0.6369 0.1369 0.5000
Y: 0.8631 0.6369 0.5000
Tl: 0.1650 0.6650 0.0000
Tl: 0.3350 0.1650 0.0000
Tl: 0.6650 0.8350 0.0000
Tl: 0.8350 0.3350 0.0000


#b
Compound: SrY2Tl2
Source: Alexandria via LeMat-Bulk
Functional: PBE-GGA
Structure: optimized geometry

Summary:
* magnetization: 0.1 μB per formula unit
* crystal system: tetragonal

a = 7.8207 Å, b = 7.8207 Å, c = 7.8207 Å
α = 143.45°, β = 143.45°, γ = 52.64°
Fractional positions:
Sr: 0.0000 0.0000 0.0000
Y: 0.2500 0.7500 0.5000
Y: 0.7500 0.2500 0.5000
Tl: 0.3953 0.3953 0.0000
Tl: 0.6047 0.6047 0.0000


What should be chosen as the least stable of them? Choose #b.


#a
Compound: Sr3YTl
Source: Alexandria via LeMat-Bulk
Functional: PBE-GGA
Structure: optimized geometry

Summary:
* magnetization: 1.4 μB per formula unit
* crystal system: cubic

a = 6.3157 Å, b = 6.3157 Å, c = 6.3157 Å
α = 90.00°, β = 90.00°, γ = 90.00°
Fractional positions:
Sr: 0.0000 0.0000 0.5000
Sr: 0.0000 0.5000 0.0000
Sr: 0.5000 0.0000 0.0000
Y: 0.5000 0.5000 0.5000
Tl: 0.0000 0.0000 0.0000


#b
Compound: Sr3YTl
Source: Alexandria via LeMat-Bulk
Functional: PBE-GGA
Structure: optimized geometry

Summary:
* magnetization: 2.6 μB per formula unit
* crystal system: cubic

a = 6.5297 Å, b = 6.5297 Å, c = 6.5297 Å
α = 90.00°, β = 90.00°, γ = 90.00°
Fractional positions:
Sr: 0.0000 0.0000 0.5000
Sr: 0.0000 0.5000 0.0000
Sr: 0.5000 0.0000 0.0000
Y: 0.0000 0.0000 0.0000
Tl: 0.5000 0.5000 0.5000


What should be chosen as the least stable of them? Choose #b.


#a
Compound: Sr2Tl2Zn
Source: Alexandria via LeMat-Bulk
Functional: PBE-GGA
Structure: optimized geometry

Summary:
* magnetization: 0.0 μB per formula unit
* crystal system: monoclinic

a = 6.5423 Å, b = 6.5423 Å, c = 12.2088 Å
α = 115.27°, β = 115.27°, γ = 42.98°
Fractional positions:
Sr: 0.0101 0.0101 0.3387
Sr: 0.1867 0.1867 0.1101
Sr: 0.8133 0.8133 0.8899
Sr: 0.9899 0.9899 0.6613
Tl: 0.3443 0.3443 0.4367
Tl: 0.4749 0.4749 0.1204
Tl: 0.5251 0.5251 0.8796
Tl: 0.6557 0.6557 0.5633
Zn: 0.2845 0.2845 0.6602
Zn: 0.7155 0.7155 0.3398


#b
Compound: Sr2Tl2Zn
Source: Alexandria via LeMat-Bulk
Functional: PBE-GGA
Structure: optimized geometry

Summary:
* magnetization: 0.0 μB per formula unit
* crystal system: tetragonal

a = 6.3469 Å, b = 6.3469 Å, c = 6.3469 Å
α = 117.63°, β = 117.63°, γ = 94.16°
Fractional positions:
Sr: 0.2500 0.7500 0.5000
Sr: 0.7500 0.2500 0.5000
Tl: 0.1685 0.1685 0.0000
Tl: 0.8315 0.8315 0.0000
Zn: 0.5000 0.5000 0.0000


#c
Compound: Sr2Tl2Zn
Source: Alexandria via LeMat-Bulk
Functional: PBE-GGA
Structure: optimized geometry

Summary:
* magnetization: 0.0 μB per formula unit
* crystal system: tetragonal

a = 7.9596 Å, b = 7.9596 Å, c = 5.1691 Å
α = 90.00°, β = 90.00°, γ = 90.00°
Fractional positions:
Sr: 0.1688 0.3312 0.0000
Sr: 0.3312 0.8312 0.0000
Sr: 0.6688 0.1688 0.0000
Sr: 0.8312 0.6688 0.0000
Tl: 0.1400 0.6400 0.5000
Tl: 0.3600 0.1400 0.5000
Tl: 0.6400 0.8600 0.5000
Tl: 0.8600 0.3600 0.5000
Zn: 0.0000 0.0000 0.5000
Zn: 0.5000 0.5000 0.5000


What should be chosen as the least stable of them? Choose #b.